1.
# Li4AcAu

An optimized crystal structure of Li4AcAu (PBE, Alexandria via LeMat-Bulk).

a b c (Å): 8.166 4.263 8.051
angles (deg): 90.00 90.00 90.00
Element x y z (fractional)
Li 0.000 0.000 0.000
Li 0.062 0.500 0.276
Li 0.250 0.500 0.980
Li 0.438 0.500 0.276
Li 0.500 0.000 0.000
Li 0.562 0.500 0.724
Li 0.750 0.500 0.020
Li 0.938 0.500 0.724
Ac 0.250 0.000 0.587
Ac 0.750 0.000 0.413
Au 0.250 0.000 0.201
Au 0.750 0.000 0.799

Results
The energy relative to the elements comes out at -228 meV per atom. Its space-group type is No. 51. For the total energy, the calculation gives -2.735 eV/atom. Its crystal system is orthorhombic.



2.
# Be4CdPt5

An optimized crystal structure of Be4CdPt5 (PBE, Alexandria via LeMat-Bulk).

a b c (Å): 2.846 2.846 15.726
angles (deg): 90.00 90.00 90.00
Element x y z (fractional)
Be 0.000 0.000 0.092
Be 0.000 0.000 0.278
Be 0.000 0.000 0.722
Be 0.000 0.000 0.908
Cd 0.000 0.000 0.500
Pt 0.500 0.500 0.000
Pt 0.500 0.500 0.179
Pt 0.500 0.500 0.361
Pt 0.500 0.500 0.639
Pt 0.500 0.500 0.821

Results
The energy relative to the elements comes out at -696 meV per atom. Its space-group type is No. 123. For the total energy, the calculation gives -5.299 eV/atom. Its crystal system is tetragonal.



3.
# FeIr2Cl

An optimized crystal structure of FeIr2Cl (PBE, Alexandria via LeMat-Bulk).

a b c (Å): 5.248 5.248 5.248
angles (deg): 149.24 127.15 62.40
Element x y z (fractional)
Fe 0.000 0.000 0.000
Ir 0.261 0.761 0.500
Ir 0.516 0.516 0.000
Cl 0.764 0.264 0.500

Results
Its space-group type is No. 44. For the total energy, the calculation gives -6.250 eV/atom. Its crystal system is orthorhombic.



4.
# Cr2SnRh

An optimized crystal structure of Cr2SnRh (PBE, Alexandria via LeMat-Bulk).

a b c (Å): 5.789 5.789 5.789
angles (deg): 103.05 103.05 123.26
Element x y z (fractional)
Cr 0.092 0.625 0.967
Cr 0.375 0.342 0.467
Cr 0.658 0.125 0.033
Cr 0.875 0.908 0.533
Sn 0.250 0.750 0.500
Sn 0.500 0.500 0.000
Rh 0.000 0.000 0.000
Rh 0.750 0.250 0.500

Results
The energy relative to the elements comes out at 559 meV per atom. Its space-group type is No. 122. For the total energy, the calculation gives -7.091 eV/atom. Its crystal system is tetragonal.



5.
# Hg2RhWI

An optimized crystal structure of Hg2RhWI (PBE, Alexandria via LeMat-Bulk).

a b c (Å): 5.668 5.668 4.883
angles (deg): 90.00 90.00 90.00
Element x y z (fractional)
Hg 0.000 0.500 0.000
Hg 0.500 0.000 0.000
Rh 0.000 0.000 0.500
W 0.500 0.500 0.500
I 0.000 0.000 0.000

Results
Its space-group type is No. 123. For the total energy, the calculation gives -2.479 eV/atom. Its crystal system is tetragonal.



6.
# AuCl5

An optimized crystal structure of AuCl5 (PBE, Alexandria via LeMat-Bulk).

a b c (Å): 3.306 3.306 13.295
angles (deg): 90.00 90.00 90.00
Element x y z (fractional)
Au 0.000 0.000 0.000
Cl 0.000 0.000 0.370
Cl 0.000 0.000 0.630
Cl 0.500 0.500 0.122
Cl 0.500 0.500 0.500
Cl 0.500 0.500 0.878

Results
Its space-group type is No. 123. For the total energy, the calculation gives -1.480 eV/atom. Its crystal system is tetragonal.



7.
# CaMoPb

An optimized crystal structure of CaMoPb (PBE, Alexandria via LeMat-Bulk).

a b c (Å): 5.058 5.058 5.058
angles (deg): 60.00 60.00 60.00
Element x y z (fractional)
Ca 0.000 0.000 0.000
Mo 0.750 0.750 0.750
Pb 0.250 0.250 0.250

Results
The energy relative to the elements comes out at 1146 meV per atom. Its space-group type is No. 216. For the total energy, the calculation gives -4.368 eV/atom. Its crystal system is cubic.



8.
# LiCd2Si

An optimized crystal structure of LiCd2Si (PBE, Alexandria via LeMat-Bulk).

a b c (Å): 3.003 4.379 5.986
angles (deg): 90.00 102.70 90.00
Element x y z (fractional)
Li 0.000 0.000 0.000
Cd 0.342 0.500 0.706
Cd 0.718 0.000 0.451
Si 0.575 0.500 0.170

Results
Its space-group type is No. 6. For the total energy, the calculation gives -2.273 eV/atom. Its crystal system is monoclinic.



9.
# Nb2N2F

An optimized crystal structure of Nb2N2F (PBE, Alexandria via LeMat-Bulk).

a b c (Å): 5.367 5.367 5.367
angles (deg): 139.36 139.36 58.83
Element x y z (fractional)
Nb 0.152 0.152 0.000
Nb 0.848 0.848 0.000
N 0.250 0.750 0.500
N 0.750 0.250 0.500
F 0.500 0.500 0.000

Results
Its space-group type is No. 139. For the total energy, the calculation gives -8.693 eV/atom. Its crystal system is tetragonal.



10.
# Pr4Tl3Pt

An optimized crystal structure of Pr4Tl3Pt (PBE, Alexandria via LeMat-Bulk).

a b c (Å): 3.722 3.722 16.624
angles (deg): 90.00 90.00 90.00
Element x y z (fractional)
Pr 0.000 0.000 0.104
Pr 0.000 0.000 0.368
Pr 0.000 0.000 0.632
Pr 0.000 0.000 0.896
Tl 0.500 0.500 0.239
Tl 0.500 0.500 0.500
Tl 0.500 0.500 0.761
Pt 0.500 0.500 0.000

Results
The energy relative to the elements comes out at -545 meV per atom. Its space-group type is No. 123. For the total energy, the calculation gives -4.577 eV/atom. Its crystal system is tetragonal.



11.
# OsRuRh

An optimized crystal structure of OsRuRh (PBE, Alexandria via LeMat-Bulk).

a b c (Å): 6.982 6.982 6.982
angles (deg): 34.53 34.53 34.53
Element x y z (fractional)
Os 0.067 0.067 0.067
Os 0.933 0.933 0.933
Ru 0.334 0.334 0.334
Ru 0.666 0.666 0.666
Rh 0.199 0.199 0.199
Rh 0.801 0.801 0.801

Results
The energy relative to the elements comes out at 546 meV per atom. Its space-group type is No. 166. For the total energy, the calculation gives -8.740 eV/atom. Its crystal system is trigonal.



12.
# Tb3Au2

An optimized crystal structure of Tb3Au2 (PBE, Alexandria via LeMat-Bulk).

a b c (Å): 8.207 8.207 3.810
angles (deg): 90.00 90.00 90.00
Element x y z (fractional)
Tb 0.000 0.000 0.000
Tb 0.163 0.337 0.500
Tb 0.337 0.837 0.500
Tb 0.500 0.500 0.000
Tb 0.663 0.163 0.500
Tb 0.837 0.663 0.500
Au 0.132 0.632 0.000
Au 0.368 0.132 0.000
Au 0.632 0.868 0.000
Au 0.868 0.368 0.000

Results
The energy relative to the elements comes out at -695 meV per atom. Its space-group type is No. 127. For the total energy, the calculation gives -4.785 eV/atom. Its crystal system is tetragonal.